Entry 1:
This record from Alexandria via LeMat-Bulk describes a relaxed La3ZnGe3 crystal. The functional is PBE-GGA.

POSCAR file:
```
La3ZnGe3
1.0
-2.0957 2.2518 9.5023
2.0957 -2.2518 9.5023
2.0957 2.2518 -9.5023
La Zn Ge
3 1 3
direct
0.0000 0.0000 0.0000
0.1882 0.6882 0.5000
0.3676 0.3676 0.0000
0.6166 0.1166 0.5000
0.5433 0.5433 0.0000
0.7463 0.2463 0.5000
0.8300 0.8300 0.0000
```

Computed properties:
ΔE_f ... -0.750 eV per atom
Space group ... No. 44
E_tot ... -35.2 eV for the cell shown


Entry 2:
This record from Alexandria via LeMat-Bulk describes a relaxed LaZn3Ge crystal. The functional is PBE-GGA.

POSCAR file:
```
LaZn3Ge
1.0
5.5790 0.0000 0.0000
0.0000 5.5790 0.0000
0.0000 0.0000 5.5790
La Zn Ge
1 3 1
direct
0.0000 0.0000 0.0000
0.0000 0.0000 0.5000
0.0000 0.5000 0.0000
0.5000 0.0000 0.0000
0.5000 0.5000 0.5000
```

Computed properties:
ΔE_f ... 1.118 eV per atom
Space group ... No. 221
E_tot ... -7.8 eV for the cell shown


Entry 3:
This record from Alexandria via LeMat-Bulk describes a relaxed LaZnGe2 crystal. The functional is PBE-GGA.

POSCAR file:
```
LaZnGe2
1.0
4.5031 0.0000 0.0000
0.0000 4.5031 0.0000
0.0000 0.0000 4.3022
La Zn Ge
1 1 2
direct
0.0000 0.0000 0.0000
0.5000 0.5000 0.0000
0.0000 0.5000 0.5000
0.5000 0.0000 0.5000
```

Computed properties:
ΔE_f ... -0.417 eV per atom
Space group ... No. 123
E_tot ... -17.1 eV for the cell shown


Entry 4:
This record from Alexandria via LeMat-Bulk describes a relaxed LaZn2Ge2 crystal. The functional is PBE-GGA.

POSCAR file:
```
LaZn2Ge2
1.0
8.7379 0.0000 0.0000
0.0000 4.2932 0.0000
0.0000 0.0000 11.0756
La Zn Ge
4 8 8
direct
0.2219 0.2500 0.1767
0.2781 0.7500 0.6767
0.7219 0.2500 0.3233
0.7781 0.7500 0.8233
0.0778 0.2500 0.4556
0.1101 0.2500 0.8621
0.3899 0.7500 0.3621
0.4222 0.7500 0.9556
0.5778 0.2500 0.0444
0.6101 0.2500 0.6379
0.8899 0.7500 0.1379
0.9222 0.7500 0.5444
0.0378 0.7500 0.3304
0.1325 0.7500 0.9748
0.3675 0.2500 0.4748
0.4622 0.2500 0.8304
0.5378 0.7500 0.1696
0.6325 0.7500 0.5252
0.8675 0.2500 0.0252
0.9622 0.2500 0.6696
```

Computed properties:
ΔE_f ... -0.422 eV per atom
Space group ... No. 62
E_tot ... -75.3 eV for the cell shown


Entry 5:
This record from Alexandria via LeMat-Bulk describes a relaxed La3Zn2Ge3 crystal. The functional is PBE-GGA.

POSCAR file:
```
La3Zn2Ge3
1.0
2.1889 -5.8184 0.0000
2.1889 5.8184 0.0000
0.0000 0.0000 14.9468
La Zn Ge
6 4 6
direct
0.0715 0.9285 0.6094
0.0715 0.9285 0.8906
0.3555 0.6445 0.7500
0.6445 0.3555 0.2500
0.9285 0.0715 0.1094
0.9285 0.0715 0.3906
0.2294 0.7706 0.0954
0.2294 0.7706 0.4046
0.7706 0.2294 0.5954
0.7706 0.2294 0.9046
0.3528 0.6472 0.2500
0.3711 0.6289 0.5450
0.3711 0.6289 0.9550
0.6289 0.3711 0.0450
0.6289 0.3711 0.4550
0.6472 0.3528 0.7500
```

Computed properties:
ΔE_f ... -0.681 eV per atom
Space group ... No. 63
E_tot ... -73.3 eV for the cell shown


Entry 6:
This record from Alexandria via LeMat-Bulk describes a relaxed La2Zn6Ge3 crystal. The functional is PBE-GGA.

POSCAR file:
```
La2Zn6Ge3
1.0
7.7330 0.0000 0.0000
-3.8665 6.6970 0.0000
0.0000 0.0000 4.1570
La Zn Ge
2 6 3
direct
0.3333 0.6667 0.0000
0.6667 0.3333 0.0000
0.0000 0.1887 0.0000
0.0000 0.7125 0.5000
0.1887 0.0000 0.0000
0.2875 0.2875 0.5000
0.7125 0.0000 0.5000
0.8113 0.8113 0.0000
0.0000 0.3802 0.5000
0.3802 0.0000 0.5000
0.6198 0.6198 0.5000
```

Computed properties:
ΔE_f ... -0.454 eV per atom
Space group ... No. 189
E_tot ... -36.3 eV for the cell shown


Entry 7:
This record from Alexandria via LeMat-Bulk describes a relaxed La2ZnGe4 crystal. The functional is PBE-GGA.

POSCAR file:
```
La2ZnGe4
1.0
-2.4222 2.4222 7.5418
2.4222 -2.4222 7.5418
2.4222 2.4222 -7.5418
La Zn Ge
2 1 4
direct
0.1381 0.1381 0.0000
0.8619 0.8619 0.0000
0.5000 0.5000 0.0000
0.0000 0.5000 0.5000
0.3380 0.3380 0.0000
0.5000 0.0000 0.5000
0.6620 0.6620 0.0000
```

Computed properties:
ΔE_f ... -0.273 eV per atom
Space group ... No. 139
E_tot ... -31.5 eV for the cell shown


Entry 8:
This record from Alexandria via LeMat-Bulk describes a relaxed La2Zn2Ge crystal. The functional is PBE-GGA.

POSCAR file:
```
La2Zn2Ge
1.0
7.1323 0.0000 0.0000
0.0000 7.1323 0.0000
0.0000 0.0000 4.7557
La Zn Ge
4 4 2
direct
0.1766 0.3234 0.0000
0.3234 0.8234 0.0000
0.6766 0.1766 0.0000
0.8234 0.6766 0.0000
0.1256 0.6256 0.5000
0.3744 0.1256 0.5000
0.6256 0.8744 0.5000
0.8744 0.3744 0.5000
0.0000 0.0000 0.5000
0.5000 0.5000 0.5000
```

Computed properties:
ΔE_f ... -0.420 eV per atom
Space group ... No. 127
E_tot ... -38.2 eV for the cell shown


Entry 9:
This record from Alexandria via LeMat-Bulk describes a relaxed La3Zn4Ge2 crystal. The functional is PBE-GGA.

POSCAR file:
```
La3Zn4Ge2
1.0
5.6614 -2.1997 0.0000
5.6614 2.1997 0.0000
-2.3852 0.0000 8.4422
La Zn Ge
3 4 2
direct
0.0000 0.0000 0.0000
0.3265 0.3265 0.3466
0.6735 0.6735 0.6534
0.0257 0.0257 0.3644
0.2570 0.2570 0.9270
0.7430 0.7430 0.0730
0.9743 0.9743 0.6356
0.3893 0.3893 0.7253
0.6107 0.6107 0.2747
```

Computed properties:
ΔE_f ... -0.583 eV per atom
Space group ... No. 12
E_tot ... -34.4 eV for the cell shown


Entry 10:
This record from Alexandria via LeMat-Bulk describes a relaxed La8Zn2Ge crystal. The functional is PBE-GGA.

POSCAR file:
```
La8Zn2Ge
1.0
9.4285 -2.5881 0.0000
9.4285 2.5881 0.0000
-2.8438 0.0000 6.9423
La Zn Ge
8 2 1
direct
0.0180 0.0180 0.2746
0.1991 0.1991 0.8156
0.3313 0.3313 0.5168
0.4112 0.4112 0.0430
0.5888 0.5888 0.9570
0.6687 0.6687 0.4832
0.8009 0.8009 0.1844
0.9820 0.9820 0.7254
0.1716 0.1716 0.1973
0.8284 0.8284 0.8027
0.5000 0.5000 0.5000
```

Computed properties:
ΔE_f ... -0.236 eV per atom
Space group ... No. 12
E_tot ... -49.2 eV for the cell shown


Entry 11:
This record from Alexandria via LeMat-Bulk describes a relaxed La2ZrGe crystal. The functional is PBE-GGA.

POSCAR file:
```
La2ZrGe
1.0
-4.4320 4.4320 2.8992
4.4320 -4.4320 2.8992
4.4320 4.4320 -2.8992
La Zr Ge
4 2 2
direct
0.0814 0.6250 0.9564
0.3750 0.3314 0.4564
0.6686 0.1250 0.0436
0.8750 0.9186 0.5436
0.2500 0.7500 0.5000
0.5000 0.5000 0.0000
0.0000 0.0000 0.0000
0.7500 0.2500 0.5000
```

Computed properties:
ΔE_f ... -0.003 eV per atom
Space group ... No. 122
E_tot ... -46.1 eV for the cell shown


Entry 12:
This record from Alexandria via LeMat-Bulk describes a relaxed LaZrGe3 crystal. The functional is PBE-GGA.

POSCAR file:
```
LaZrGe3
1.0
5.3632 0.0000 0.0000
0.0000 5.3632 0.0000
0.0000 0.0000 5.3632
La Zr Ge
1 1 3
direct
0.0000 0.0000 0.0000
0.5000 0.5000 0.5000
0.0000 0.0000 0.5000
0.0000 0.5000 0.0000
0.5000 0.0000 0.0000
```

Computed properties:
ΔE_f ... 1.032 eV per atom
Space group ... No. 221
E_tot ... -22.2 eV for the cell shown


Entry 13:
This record from Alexandria via LeMat-Bulk describes a relaxed LaZr3Ge crystal. The functional is PBE-GGA.

POSCAR file:
```
LaZr3Ge
1.0
5.1115 0.0000 0.0000
0.0000 5.1115 0.0000
0.0000 0.0000 5.1115
La Zr Ge
1 3 1
direct
0.0000 0.0000 0.0000
0.0000 0.0000 0.5000
0.0000 0.5000 0.0000
0.5000 0.0000 0.0000
0.5000 0.5000 0.5000
```

Computed properties:
ΔE_f ... 1.274 eV per atom
Space group ... No. 221
E_tot ... -28.8 eV for the cell shown


Entry 14:
This record from Alexandria via LeMat-Bulk describes a relaxed La2ZrGe2 crystal. The functional is PBE-GGA.

POSCAR file:
```
La2ZrGe2
1.0
7.7313 0.0000 0.0000
0.0000 7.7313 0.0000
0.0000 0.0000 4.3739
La Zr Ge
4 2 4
direct
0.1528 0.3472 0.0000
0.3472 0.8472 0.0000
0.6528 0.1528 0.0000
0.8472 0.6528 0.0000
0.0000 0.0000 0.5000
0.5000 0.5000 0.5000
0.1559 0.6559 0.5000
0.3441 0.1559 0.5000
0.6559 0.8441 0.5000
0.8441 0.3441 0.5000
```

Computed properties:
ΔE_f ... -0.686 eV per atom
Space group ... No. 127
E_tot ... -62.1 eV for the cell shown


Entry 15:
This record from Alexandria via LeMat-Bulk describes a relaxed LaZr3Ge crystal. The functional is PBE-GGA.

POSCAR file:
```
LaZr3Ge
1.0
5.1852 0.0000 0.0000
0.0000 5.1852 0.0000
0.0000 0.0000 5.1852
La Zr Ge
1 3 1
direct
0.0000 0.0000 0.0000
0.0000 0.5000 0.5000
0.5000 0.0000 0.5000
0.5000 0.5000 0.0000
0.5000 0.5000 0.5000
```

Computed properties:
ΔE_f ... 0.152 eV per atom
Space group ... No. 221
E_tot ... -34.4 eV for the cell shown


Entry 16:
This record from Alexandria via LeMat-Bulk describes a relaxed La2Zr3Ge4 crystal. The functional is PBE-GGA.

POSCAR file:
```
La2Zr3Ge4
1.0
7.6052 0.0000 0.0000
0.0000 7.6077 0.0000
-2.4447 0.0000 7.0385
La Zr Ge
4 6 8
direct
0.1866 0.1686 0.0658
0.1866 0.3314 0.5658
0.8134 0.6686 0.4342
0.8134 0.8314 0.9342
0.2560 0.6706 0.2513
0.2560 0.8294 0.7513
0.5000 0.0000 0.5000
0.5000 0.5000 0.0000
0.7440 0.1706 0.2487
0.7440 0.3294 0.7487
0.0894 0.5405 0.8671
0.0894 0.9595 0.3671
0.4942 0.1330 0.8631
0.4942 0.3670 0.3631
0.5058 0.6330 0.6369
0.5058 0.8670 0.1369
0.9106 0.0405 0.6329
0.9106 0.4595 0.1329
```

Computed properties:
ΔE_f ... -0.861 eV per atom
Space group ... No. 14
E_tot ... -123.4 eV for the cell shown


Entry 17:
This record from Alexandria via LeMat-Bulk describes a relaxed LaZrGe3 crystal. The functional is PBE-GGA.

POSCAR file:
```
LaZrGe3
1.0
5.1274 0.0000 0.0000
0.0000 5.1274 0.0000
0.0000 0.0000 5.1274
La Zr Ge
1 1 3
direct
0.0000 0.0000 0.0000
0.5000 0.5000 0.5000
0.0000 0.5000 0.5000
0.5000 0.0000 0.5000
0.5000 0.5000 0.0000
```

Computed properties:
ΔE_f ... -0.208 eV per atom
Space group ... No. 221
E_tot ... -28.4 eV for the cell shown


Entry 18:
This record from Alexandria via LeMat-Bulk describes a relaxed La5ZrGe4 crystal. The functional is PBE-GGA.

POSCAR file:
```
La5ZrGe4
1.0
9.4887 -2.1696 0.0000
9.4887 2.1696 0.0000
-2.8327 0.0000 7.4111
La Zr Ge
5 1 4
direct
0.0000 0.0000 0.0000
0.3320 0.3320 0.1138
0.3371 0.3371 0.6383
0.6629 0.6629 0.3617
0.6680 0.6680 0.8862
0.0000 0.0000 0.5000
0.1707 0.1707 0.6340
0.4967 0.4967 0.2698
0.5033 0.5033 0.7302
0.8293 0.8293 0.3660
```

Computed properties:
ΔE_f ... -0.553 eV per atom
Space group ... No. 12
E_tot ... -57.2 eV for the cell shown


Entry 19:
This record from Alexandria via LeMat-Bulk describes a relaxed LiGe2 crystal. The functional is PBE-GGA.

POSCAR file:
```
LiGe2
1.0
4.5785 0.0000 0.0000
0.0000 2.7490 0.0000
-2.2593 0.0000 4.1499
Li Ge
1 2
direct
0.0000 0.0000 0.0000
0.3366 0.5000 0.6754
0.6634 0.5000 0.3246
```

Computed properties:
ΔE_f ... -0.106 eV per atom
Space group ... No. 10
E_tot ... -11.5 eV for the cell shown


Entry 20:
This record from Alexandria via LeMat-Bulk describes a relaxed LiGe2 crystal. The functional is PBE-GGA.

POSCAR file:
```
LiGe2
1.0
5.4540 0.0000 0.0000
0.0000 2.7386 0.0000
-0.8313 0.0000 6.9348
Li Ge
2 4
direct
0.1944 0.0000 0.1907
0.8056 0.0000 0.8093
0.0000 0.5000 0.5000
0.3102 0.5000 0.8542
0.5000 0.5000 0.5000
0.6898 0.5000 0.1458
```

Computed properties:
ΔE_f ... -0.119 eV per atom
Space group ... No. 10
E_tot ... -23.0 eV for the cell shown


Entry 21:
This record from Alexandria via LeMat-Bulk describes a relaxed LiGe2 crystal. The functional is PBE-GGA.

POSCAR file:
```
LiGe2
1.0
4.2642 -3.1965 0.0000
4.2642 3.1965 0.0000
-1.3806 0.0000 4.0926
Li Ge
2 4
direct
0.1706 0.1706 0.4233
0.8294 0.8294 0.5767
0.1983 0.6056 0.1738
0.3944 0.8017 0.8262
0.6056 0.1983 0.1738
0.8017 0.3944 0.8262
```

Computed properties:
ΔE_f ... -0.104 eV per atom
Space group ... No. 12
E_tot ... -22.9 eV for the cell shown


Entry 22:
This record from Alexandria via LeMat-Bulk describes a relaxed Li5Ge3 crystal. The functional is PBE-GGA.

POSCAR file:
```
Li5Ge3
1.0
4.4287 -3.1541 0.0000
4.4287 3.1541 0.0000
0.0000 0.0000 8.8202
Li Ge
10 6
direct
0.0006 0.5007 0.2500
0.0018 0.9982 0.7500
0.2570 0.7430 0.0006
0.2570 0.7430 0.4994
0.4993 0.9994 0.2500
0.5007 0.0006 0.7500
0.7430 0.2570 0.5006
0.7430 0.2570 0.9994
0.9982 0.0018 0.2500
0.9994 0.4993 0.7500
0.2489 0.2489 0.0000
0.2489 0.2489 0.5000
0.4992 0.5008 0.7500
0.5008 0.4992 0.2500
0.7511 0.7511 0.0000
0.7511 0.7511 0.5000
```

Computed properties:
ΔE_f ... -0.276 eV per atom
Space group ... No. 63
E_tot ... -51.3 eV for the cell shown


Entry 23:
This record from Alexandria via LeMat-Bulk describes a relaxed Li5Ge4 crystal. The functional is PBE-GGA.

POSCAR file:
```
Li5Ge4
1.0
4.6491 -2.1121 0.0000
4.6491 2.1121 0.0000
-4.2255 0.0000 7.7470
Li Ge
5 4
direct
0.0000 0.0000 0.0000
0.3294 0.3294 0.3990
0.4798 0.4798 0.7946
0.5202 0.5202 0.2054
0.6706 0.6706 0.6010
0.0303 0.0303 0.3749
0.2494 0.2494 0.8976
0.7506 0.7506 0.1024
0.9697 0.9697 0.6251
```

Computed properties:
ΔE_f ... -0.291 eV per atom
Space group ... No. 12
E_tot ... -30.7 eV for the cell shown